Entry 1:
Computed, not measured: crystalline SmHo5 at its relaxed geometry at the GGA-PBE level of DFT.

Structure (POSCAR):
```
SmHo5
1.0
-1.8103 -1.8771 -2.3025
4.5483 -3.5355 1.9343
-5.5488 -3.2829 7.0393
Ho Sm
5 1
direct
0.3273 0.6546 0.2132
0.0615 0.1230 0.0690
0.3268 0.6536 0.5646
0.6044 0.2087 0.3888
0.0610 0.1221 0.7088
0.7857 0.5714 0.8889
```

Output
DFT total energy (eV/f.u.): -26.856
Energy of formation from the pure elements (eV per atom): 0.13
D(E_F) (states/eV per cell): 10.436

Entry 2:
Computed, not measured: crystalline NpTlPb2O6 at its relaxed geometry at the GGA-PBE level of DFT.

Structure (POSCAR):
```
NpTlPb2O6
1.0
6.2445 0.0097 -0.0010
3.1306 5.4025 -0.0072
3.1238 1.7977 5.6268
Pb O Tl Np
2 6 1 1
direct
0.0094 0.0080 0.9735
0.5364 0.5383 0.3906
0.1555 0.3746 0.7966
0.2685 0.9835 0.2090
0.6749 0.1531 0.7964
0.3757 0.6735 0.7941
0.9830 0.5415 0.2080
0.5381 0.2690 0.2081
0.7925 0.7928 0.6215
0.3276 0.3273 0.0172
```

Output
DFT total energy (eV/f.u.): -69.633
ΔE_f (raw) (eV per atom): -1.72

Entry 3:
Computed, not measured: crystalline Ce2PmPd9 at its relaxed geometry at the GGA-PBE level of DFT.

Structure (POSCAR):
```
Ce2PmPd9
1.0
-2.6644 3.1966 0.1346
-3.0870 -2.6146 0.9847
2.5212 1.5908 12.1274
Pd Ce Pm
9 2 1
direct
0.5000 0.5000 0.3348
0.0000 0.5000 0.5000
0.5000 0.0000 0.5000
0.5000 0.0000 0.1708
0.5000 0.0000 0.8292
0.0000 0.5000 0.1708
0.0000 0.5000 0.8292
0.5000 0.5000 0.6652
0.5000 0.5000 0.0000
0.0000 0.0000 0.6675
0.0000 0.0000 0.3325
0.0000 0.0000 0.0000
```

Output
DFT total energy (eV/f.u.): -73.326
Energy of formation from the pure elements (eV per atom): -0.83
D(E_F) (states/eV per cell): 8.098

Entry 4:
Computed, not measured: crystalline YIn3Ga at its relaxed geometry at the GGA-PBE level of DFT.

Structure (POSCAR):
```
YIn3Ga
1.0
5.8751 0.0000 0.0000
0.0000 5.8751 0.0000
0.0000 0.0000 5.8751
In Y Ga
3 1 1
direct
0.5000 0.0000 0.0000
0.0000 0.5000 0.0000
0.0000 0.0000 0.5000
0.0000 0.0000 0.0000
0.5000 0.5000 0.5000
```

Output
DFT total energy (eV/f.u.): -14.613
Energy of formation from the pure elements (eV per atom): 0.62
D(E_F) (states/eV per cell): 5.762

Entry 5:
Computed, not measured: crystalline BeCu2AuBr at its relaxed geometry at the GGA-PBE level of DFT.

Structure (POSCAR):
```
BeCu2AuBr
1.0
4.9192 0.0000 0.0000
0.0000 4.3775 0.0000
0.0000 0.0000 4.9192
Br Cu Be Au
1 2 1 1
direct
0.5000 0.5000 0.5000
0.5000 0.0000 0.0000
0.0000 0.0000 0.5000
0.0000 0.5000 0.0000
0.0000 0.0000 0.0000
```

Output
DFT total energy (eV/f.u.): -13.702
ΔE_f (raw) (eV per atom): 0.63
D(E_F) (states/eV per cell): 1.876

Entry 6:
Computed, not measured: crystalline MgSc2Cu at its relaxed geometry at the GGA-PBE level of DFT.

Structure (POSCAR):
```
MgSc2Cu
1.0
-4.2849 1.8996 -6.1562
2.1244 -6.5633 -3.5038
-3.3574 -3.6912 -3.6645
Sc Cu Mg
4 2 2
direct
0.6760 0.1250 0.2500
0.8750 0.9260 0.7500
0.0740 0.6250 0.2500
0.3750 0.3240 0.7500
0.0000 0.0000 0.0000
0.7500 0.2500 0.5000
0.2500 0.7500 0.5000
0.5000 0.5000 0.0000
```

Output
DFT total energy (eV/f.u.): -17.546
Energy of formation from the pure elements (eV per atom): 0.20
D(E_F) (states/eV per cell): 7.959